Below is a relaxed structure of Li3Sn2Hg, with properties calculated at the GGA-PBE level.

Properties
symmetry: P4/mmm (123)
volume: 19.7 Å³/atom
formation energy: -328 meV/atom
total magnetic moment: 0.000 μB per formula unit

Cell lengths 3.3231, 3.3231, 10.6933 Å; angles 90.00, 90.00, 90.00 degrees
Fractional coordinates of all 6 atoms:
Li1 0.0000 0.0000 0.0000
Li2 0.0000 0.0000 0.6548
Li3 0.0000 0.0000 0.3452
Sn1 0.5000 0.5000 0.1742
Sn2 0.5000 0.5000 0.8258
Hg1 0.5000 0.5000 0.5000